DFT (PBE) results for a relaxed SmFeIr crystal.

Cell lengths 6.429, 6.429, 6.429 Å; angles 90.00, 90.00, 90.00 degrees
Element x y z (fractional)
Sm1 0.000 0.000 0.000
Sm2 0.000 0.500 0.500
Sm3 0.500 0.000 0.500
Sm4 0.500 0.500 0.000
Fe1 0.250 0.250 0.750
Fe2 0.250 0.750 0.250
Fe3 0.750 0.250 0.250
Fe4 0.750 0.750 0.750
Ir1 0.250 0.250 0.250
Ir2 0.250 0.750 0.750
Ir3 0.750 0.250 0.750
Ir4 0.750 0.750 0.250

## Properties
Total magnetization, μB/f.u.: 2.93
Formation enthalpy at 0 K, eV/atom: 0.796
Space-group type: F-43m (216)

***

DFT (PBE) results for a relaxed SmFeIr crystal.

Cell lengths 6.431, 6.431, 6.431 Å; angles 90.00, 90.00, 90.00 degrees
Element x y z (fractional)
Sm1 0.000 0.000 0.000
Sm2 0.000 0.500 0.500
Sm3 0.500 0.000 0.500
Sm4 0.500 0.500 0.000
Fe1 0.000 0.000 0.500
Fe2 0.000 0.500 0.000
Fe3 0.500 0.000 0.000
Fe4 0.500 0.500 0.500
Ir1 0.250 0.250 0.750
Ir2 0.250 0.750 0.250
Ir3 0.750 0.250 0.250
Ir4 0.750 0.750 0.750

## Properties
Total magnetization, μB/f.u.: 3.61
Formation enthalpy at 0 K, eV/atom: 0.080
Space-group type: F-43m (216)

***

DFT (PBE) results for a relaxed FeSnIr2 crystal.

Cell lengths 6.241, 6.241, 6.241 Å; angles 90.00, 90.00, 90.00 degrees
Element x y z (fractional)
Fe1 0.000 0.000 0.000
Fe2 0.000 0.500 0.500
Fe3 0.500 0.000 0.500
Fe4 0.500 0.500 0.000
Sn1 0.250 0.250 0.750
Sn2 0.250 0.750 0.250
Sn3 0.750 0.250 0.250
Sn4 0.750 0.750 0.750
Ir1 0.000 0.000 0.500
Ir2 0.000 0.500 0.000
Ir3 0.250 0.250 0.250
Ir4 0.250 0.750 0.750
Ir5 0.500 0.000 0.000
Ir6 0.500 0.500 0.500
Ir7 0.750 0.250 0.750
Ir8 0.750 0.750 0.250

## Properties
Uncorrected energy, eV per atom: -7.2954
Total magnetization, μB/f.u.: 3.06
Space-group type: F-43m (216)

***

DFT (PBE) results for a relaxed Tb2TmFeSn3Ir2 crystal.

Cell lengths 3.751, 7.583, 7.583 Å; angles 119.77, 90.00, 90.00 degrees
Element x y z (fractional)
Tb1 0.000 0.204 0.796
Tb2 0.000 0.796 0.204
Tm1 0.000 0.388 0.388
Fe1 0.000 0.794 0.794
Sn1 0.500 0.054 0.054
Sn2 0.500 0.538 0.795
Sn3 0.500 0.795 0.538
Ir1 0.500 0.132 0.461
Ir2 0.500 0.461 0.132

## Properties
Uncorrected energy, eV per atom: -6.4389
Total magnetization, μB/f.u.: 1.66
Space-group type: Amm2 (38)

***

DFT (PBE) results for a relaxed TbTm2FeSn3Ir2 crystal.

Cell lengths 3.727, 7.591, 7.591 Å; angles 120.21, 90.00, 90.00 degrees
Element x y z (fractional)
Tb1 0.000 0.000 0.000
Tm1 0.000 0.407 0.814
Tm2 0.000 0.814 0.407
Fe1 0.000 0.409 0.409
Sn1 0.500 0.150 0.408
Sn2 0.500 0.408 0.150
Sn3 0.500 0.664 0.664
Ir1 0.500 0.075 0.737
Ir2 0.500 0.737 0.075

## Properties
Uncorrected energy, eV per atom: -6.4273
Total magnetization, μB/f.u.: 1.64
Space-group type: Amm2 (38)

***

DFT (PBE) results for a relaxed ZnFeSnIr crystal.

Cell lengths 6.219, 6.219, 6.219 Å; angles 90.00, 90.00, 90.00 degrees
Element x y z (fractional)
Zn1 0.000 0.000 0.000
Zn2 0.000 0.500 0.500
Zn3 0.500 0.000 0.500
Zn4 0.500 0.500 0.000
Fe1 0.250 0.250 0.750
Fe2 0.250 0.750 0.250
Fe3 0.750 0.250 0.250
Fe4 0.750 0.750 0.750
Sn1 0.000 0.000 0.500
Sn2 0.000 0.500 0.000
Sn3 0.500 0.000 0.000
Sn4 0.500 0.500 0.500
Ir1 0.250 0.250 0.250
Ir2 0.250 0.750 0.750
Ir3 0.750 0.250 0.750
Ir4 0.750 0.750 0.250

## Properties
ΔE to the lowest computed polymorph, kJ/mol of formula units: 0.0
Total magnetization, μB/f.u.: 1.51
Space-group type: F-43m (216)

***

DFT (PBE) results for a relaxed Zn2FeSnIr4 crystal.

Cell lengths 4.363, 4.363, 6.175 Å; angles 90.00, 90.00, 90.00 degrees
Element x y z (fractional)
Zn1 0.000 0.000 0.000
Zn2 0.500 0.500 0.500
Fe1 0.000 0.000 0.500
Sn1 0.500 0.500 0.000
Ir1 0.000 0.500 0.258
Ir2 0.000 0.500 0.742
Ir3 0.500 0.000 0.258
Ir4 0.500 0.000 0.742

## Properties
Uncorrected energy, eV per atom: -6.4169
Total magnetization, μB/f.u.: 4.31
Space-group type: P4/mmm (123)

***

DFT (PBE) results for a relaxed SrFeIr2 crystal.

Cell lengths 6.476, 6.476, 6.476 Å; angles 90.00, 90.00, 90.00 degrees
Element x y z (fractional)
Sr1 0.000 0.000 0.000
Sr2 0.000 0.500 0.500
Sr3 0.500 0.000 0.500
Sr4 0.500 0.500 0.000
Fe1 0.250 0.250 0.250
Fe2 0.250 0.750 0.750
Fe3 0.750 0.250 0.750
Fe4 0.750 0.750 0.250
Ir1 0.000 0.000 0.500
Ir2 0.000 0.500 0.000
Ir3 0.250 0.250 0.750
Ir4 0.250 0.750 0.250
Ir5 0.500 0.000 0.000
Ir6 0.500 0.500 0.500
Ir7 0.750 0.250 0.250
Ir8 0.750 0.750 0.750

## Properties
Uncorrected energy, eV per atom: -6.3106
Total magnetization, μB/f.u.: 4.01
Space-group type: F-43m (216)

***

DFT (PBE) results for a relaxed SrFe2Ir crystal.

Cell lengths 6.520, 6.520, 6.520 Å; angles 90.00, 90.00, 90.00 degrees
Element x y z (fractional)
Sr1 0.000 0.000 0.000
Sr2 0.000 0.500 0.500
Sr3 0.500 0.000 0.500
Sr4 0.500 0.500 0.000
Fe1 0.000 0.000 0.500
Fe2 0.000 0.500 0.000
Fe3 0.250 0.250 0.750
Fe4 0.250 0.750 0.250
Fe5 0.500 0.000 0.000
Fe6 0.500 0.500 0.500
Fe7 0.750 0.250 0.250
Fe8 0.750 0.750 0.750
Ir1 0.250 0.250 0.250
Ir2 0.250 0.750 0.750
Ir3 0.750 0.250 0.750
Ir4 0.750 0.750 0.250

## Properties
Uncorrected energy, eV per atom: -6.1142
Total magnetization, μB/f.u.: 6.10
Space-group type: F-43m (216)

***

DFT (PBE) results for a relaxed TaFeIr2 crystal.

Cell lengths 6.204, 6.204, 6.204 Å; angles 90.00, 90.00, 90.00 degrees
Element x y z (fractional)
Ta1 0.000 0.000 0.000
Ta2 0.000 0.500 0.500
Ta3 0.500 0.000 0.500
Ta4 0.500 0.500 0.000
Fe1 0.250 0.250 0.250
Fe2 0.250 0.750 0.750
Fe3 0.750 0.250 0.750
Fe4 0.750 0.750 0.250
Ir1 0.000 0.000 0.500
Ir2 0.000 0.500 0.000
Ir3 0.250 0.250 0.750
Ir4 0.250 0.750 0.250
Ir5 0.500 0.000 0.000
Ir6 0.500 0.500 0.500
Ir7 0.750 0.250 0.250
Ir8 0.750 0.750 0.750

## Properties
Total magnetization, μB/f.u.: 2.76
Formation enthalpy at 0 K, eV/atom: -0.068
Space-group type: F-43m (216)

***

DFT (PBE) results for a relaxed TaTlFeIr crystal.

Cell lengths 6.389, 6.389, 6.389 Å; angles 90.00, 90.00, 90.00 degrees
Element x y z (fractional)
Ta1 0.000 0.000 0.000
Ta2 0.000 0.500 0.500
Ta3 0.500 0.000 0.500
Ta4 0.500 0.500 0.000
Tl1 0.000 0.000 0.500
Tl2 0.000 0.500 0.000
Tl3 0.500 0.000 0.000
Tl4 0.500 0.500 0.500
Fe1 0.250 0.250 0.750
Fe2 0.250 0.750 0.250
Fe3 0.750 0.250 0.250
Fe4 0.750 0.750 0.750
Ir1 0.250 0.250 0.250
Ir2 0.250 0.750 0.750
Ir3 0.750 0.250 0.750
Ir4 0.750 0.750 0.250

## Properties
ΔE to the lowest computed polymorph, kJ/mol of formula units: 0.0
Total magnetization, μB/f.u.: 1.29
Space-group type: F-43m (216)

***

DFT (PBE) results for a relaxed TaTlFeIr crystal.

Cell lengths 6.463, 6.463, 6.463 Å; angles 90.00, 90.00, 90.00 degrees
Element x y z (fractional)
Ta1 0.000 0.000 0.000
Ta2 0.000 0.500 0.500
Ta3 0.500 0.000 0.500
Ta4 0.500 0.500 0.000
Tl1 0.250 0.250 0.250
Tl2 0.250 0.750 0.750
Tl3 0.750 0.250 0.750
Tl4 0.750 0.750 0.250
Fe1 0.000 0.000 0.500
Fe2 0.000 0.500 0.000
Fe3 0.500 0.000 0.000
Fe4 0.500 0.500 0.500
Ir1 0.250 0.250 0.750
Ir2 0.250 0.750 0.250
Ir3 0.750 0.250 0.250
Ir4 0.750 0.750 0.750

## Properties
ΔE to the lowest computed polymorph, kJ/mol of formula units: 101.0
Total magnetization, μB/f.u.: 3.14
Space-group type: F-43m (216)

***

What did the ninth record say?
DFT (PBE) results for a relaxed SrFe2Ir crystal.

Cell lengths 6.520, 6.520, 6.520 Å; angles 90.00, 90.00, 90.00 degrees
Element x y z (fractional)
Sr1 0.000 0.000 0.000
Sr2 0.000 0.500 0.500
Sr3 0.500 0.000 0.500
Sr4 0.500 0.500 0.000
Fe1 0.000 0.000 0.500
Fe2 0.000 0.500 0.000
Fe3 0.250 0.250 0.750
Fe4 0.250 0.750 0.250
Fe5 0.500 0.000 0.000
Fe6 0.500 0.500 0.500
Fe7 0.750 0.250 0.250
Fe8 0.750 0.750 0.750
Ir1 0.250 0.250 0.250
Ir2 0.250 0.750 0.750
Ir3 0.750 0.250 0.750
Ir4 0.750 0.750 0.250

## Properties
Uncorrected energy, eV per atom: -6.1142
Total magnetization, μB/f.u.: 6.10
Space-group type: F-43m (216)